First-principles (PBE-GGA) data for a geometry-optimized Li2ZnAg2F6 structure, as listed in Alexandria via LeMat-Bulk.

Calculated values
- Electronic total energy: -4.045 eV/atom
- Magnetic moment: 0.0 μB/f.u.
- ΔE_f (raw): -2167 kJ/mol of formula units

```
data_Li2ZnAg2F6
_chemical_formula_sum 'Li2 Zn1 Ag2 F6'
_cell_length_a 5.254
_cell_length_b 5.254
_cell_length_c 6.193
_cell_angle_alpha 99.55
_cell_angle_beta 99.55
_cell_angle_gamma 119.40
_space_group_name_H-M_alt 'P 1'
_space_group_IT_number 1
loop_
_space_group_symop_operation_xyz
'x,y,z'
loop_
_atom_site_label
_atom_site_type_symbol
_atom_site_fract_x
_atom_site_fract_y
_atom_site_fract_z
Li1 Li 0.335 0.665 0.500
Li2 Li 0.665 0.335 0.500
Zn1 Zn 0.000 0.000 0.500
Ag1 Ag 0.827 0.173 0.000
Ag2 Ag 0.173 0.827 0.000
F1 F 0.744 0.744 0.687
F2 F 0.062 0.400 0.687
F3 F 0.256 0.256 0.313
F4 F 0.400 0.062 0.687
F5 F 0.938 0.600 0.313
F6 F 0.600 0.938 0.313
```


First-principles (PBE-GGA) data for a geometry-optimized Li2ZnNiH6 structure, as listed in Alexandria via LeMat-Bulk.

Calculated values
- Electronic total energy: -3.243 eV/atom
- Magnetic moment: 0.0 μB/f.u.

```
data_Li2ZnNiH6
_chemical_formula_sum 'Li2 Zn1 Ni1 H6'
_cell_length_a 4.806
_cell_length_b 4.806
_cell_length_c 4.803
_cell_angle_alpha 120.07
_cell_angle_beta 120.07
_cell_angle_gamma 89.98
_space_group_name_H-M_alt 'P 1'
_space_group_IT_number 1
loop_
_space_group_symop_operation_xyz
'x,y,z'
loop_
_atom_site_label
_atom_site_type_symbol
_atom_site_fract_x
_atom_site_fract_y
_atom_site_fract_z
Li1 Li 0.749 0.251 0.499
Li2 Li 0.251 0.749 0.499
Zn1 Zn 0.500 0.500 0.000
Ni1 Ni 0.000 0.000 0.000
H1 H 0.763 0.764 0.998
H2 H 0.765 0.765 0.528
H3 H 0.237 0.237 0.002
H4 H 0.764 0.236 0.000
H5 H 0.235 0.236 0.472
H6 H 0.236 0.765 0.000
```


First-principles (PBE-GGA) data for a geometry-optimized ErPa2Pb structure, as listed in Alexandria via LeMat-Bulk.

Calculated values
- Electronic total energy: -6.415 eV/atom
- Magnetic moment: 0.0 μB/f.u.
- Energy of formation: 0.401 eV per atom

```
data_ErPa2Pb
_chemical_formula_sum 'Er1 Pa2 Pb1'
_cell_length_a 5.371
_cell_length_b 5.371
_cell_length_c 5.371
_cell_angle_alpha 60.00
_cell_angle_beta 60.00
_cell_angle_gamma 60.00
_space_group_name_H-M_alt 'P 1'
_space_group_IT_number 1
loop_
_space_group_symop_operation_xyz
'x,y,z'
loop_
_atom_site_label
_atom_site_type_symbol
_atom_site_fract_x
_atom_site_fract_y
_atom_site_fract_z
Pb1 Pb 0.000 0.000 0.000
Pa1 Pa 0.250 0.250 0.250
Pa2 Pa 0.750 0.750 0.750
Er1 Er 0.500 0.500 0.500
```


First-principles (PBE-GGA) data for a geometry-optimized CsBa2IN structure, as listed in Alexandria via LeMat-Bulk.

Calculated values
- Electronic total energy: -2.435 eV/atom
- Magnetic moment: 0.0 μB/f.u.
- ΔE_f (raw): 232 kJ/mol of formula units

```
data_CsBa2IN
_chemical_formula_sum 'Cs1 Ba2 I1 N1'
_cell_length_a 6.521
_cell_length_b 4.672
_cell_length_c 6.521
_cell_angle_alpha 90.00
_cell_angle_beta 90.00
_cell_angle_gamma 90.00
_space_group_name_H-M_alt 'P 1'
_space_group_IT_number 1
loop_
_space_group_symop_operation_xyz
'x,y,z'
loop_
_atom_site_label
_atom_site_type_symbol
_atom_site_fract_x
_atom_site_fract_y
_atom_site_fract_z
Cs1 Cs 0.000 0.000 0.000
I1 I 0.500 0.500 0.500
Ba1 Ba 0.000 0.000 0.500
Ba2 Ba 0.500 0.000 0.000
N1 N 0.000 0.500 0.000
```


First-principles (PBE-GGA) data for a geometry-optimized MgMnMo2 structure, as listed in Alexandria via LeMat-Bulk.

Calculated values
- Electronic total energy: -7.751 eV/atom
- Magnetic moment: 1.4 μB/f.u.
- Energy of formation: 0.355 eV per atom

```
data_MgMnMo2
_chemical_formula_sum 'Mg1 Mn1 Mo2'
_cell_length_a 3.289
_cell_length_b 3.289
_cell_length_c 5.925
_cell_angle_alpha 90.00
_cell_angle_beta 90.00
_cell_angle_gamma 90.00
_space_group_name_H-M_alt 'P 1'
_space_group_IT_number 1
loop_
_space_group_symop_operation_xyz
'x,y,z'
loop_
_atom_site_label
_atom_site_type_symbol
_atom_site_fract_x
_atom_site_fract_y
_atom_site_fract_z
Mg1 Mg 0.500 0.500 0.250
Mn1 Mn 0.500 0.500 0.750
Mo1 Mo 0.000 0.000 0.950
Mo2 Mo 0.000 0.000 0.550
```


First-principles (PBE-GGA) data for a geometry-optimized Pa2AlSi4Pd3 structure, as listed in Alexandria via LeMat-Bulk.

Calculated values
- Electronic total energy: -6.636 eV/atom
- Magnetic moment: 0.8 μB/f.u.
- ΔE_f (raw): -613 kJ/mol of formula units

```
data_Pa2AlSi4Pd3
_chemical_formula_sum 'Pa2 Al1 Si4 Pd3'
_cell_length_a 4.195
_cell_length_b 4.195
_cell_length_c 9.943
_cell_angle_alpha 90.00
_cell_angle_beta 90.00
_cell_angle_gamma 90.00
_space_group_name_H-M_alt 'P 1'
_space_group_IT_number 1
loop_
_space_group_symop_operation_xyz
'x,y,z'
loop_
_atom_site_label
_atom_site_type_symbol
_atom_site_fract_x
_atom_site_fract_y
_atom_site_fract_z
Pa1 Pa 0.500 0.000 0.246
Pa2 Pa 0.000 0.500 0.754
Al1 Al 0.500 0.500 0.500
Si1 Si 0.500 0.500 0.000
Si2 Si 0.000 0.000 0.000
Si3 Si 0.500 0.000 0.642
Si4 Si 0.000 0.500 0.358
Pd1 Pd 0.000 0.000 0.500
Pd2 Pd 0.500 0.000 0.880
Pd3 Pd 0.000 0.500 0.120
```


no.,DOS(E_F) (states/eV per cell)
1,0.0
2,1.2
3,10.4
4,3.0
5,2.9
6,8.3